Entry 1:
The following is a PBE calculation of a relaxed structure of PmPrH4, from the Alexandria database.

Cell lengths 3.8711, 3.8711, 5.4701 Å; angles 90.00, 90.00, 90.00 degrees
Last column: nearest neighbours and their distance in Å.
Sites, in units of the cell vectors:
Pm 0.0000 0.0000 0.0000  8 H 2.35
Pr 0.5000 0.5000 0.5000  8 H 2.39
H 0.0000 0.5000 0.2432  2 Pm 2.35, 2 Pr 2.39
H 0.0000 0.5000 0.7568  2 Pm 2.35, 2 Pr 2.39
H 0.5000 0.0000 0.2432  2 Pm 2.35, 2 Pr 2.39
H 0.5000 0.0000 0.7568  2 Pm 2.35, 2 Pr 2.39

Raw total energy (eV per cell): -26.84


Entry 2:
The following is a PBE calculation of a relaxed structure of TlNiSe2, from the Alexandria database.

Cell lengths 3.7742, 3.7742, 6.2876 Å; angles 90.00, 90.00, 90.00 degrees
Last column: nearest neighbours and their distance in Å.
Sites, in units of the cell vectors:
Tl 0.0000 0.0000 0.0000  4 Ni 2.67
Ni 0.5000 0.5000 0.0000  4 Tl 2.67
Se 0.0000 0.5000 0.5000  4 Se 2.67
Se 0.5000 0.0000 0.5000  4 Se 2.67

Uncorrected formation energy (eV/atom): 0.444
Raw total energy (eV per cell): -13.34


Entry 3:
The following is a PBE calculation of a relaxed structure of NaNd2TaO6, from the Alexandria database.

Cell lengths 5.9990, 5.9990, 5.9990 Å; angles 58.11, 58.11, 58.11 degrees
Last column: nearest neighbours and their distance in Å.
Sites, in units of the cell vectors:
Na 0.0000 0.0000 0.0000  6 O 2.33-2.53
Nd 0.2730 0.2730 0.2730  6 O 2.40-2.43
Nd 0.7740 0.7740 0.7740  6 O 2.30-2.52
Ta 0.4888 0.4888 0.4888  6 O 1.98-2.06
O 0.1369 0.6706 0.3865  1 Ta 2.06, 1 Nd 2.30
O 0.2361 0.5998 0.8240  1 Ta 1.98
O 0.3865 0.1369 0.6706  1 Ta 2.06, 1 Nd 2.30
O 0.5998 0.8240 0.2361  1 Ta 1.98
O 0.6706 0.3865 0.1369  1 Ta 2.06, 1 Nd 2.30
O 0.8240 0.2361 0.5998  1 Ta 1.98

Uncorrected formation energy (eV/atom): -2.996
Raw total energy (eV per cell): -82.41


> The lowest raw total energy belongs to which entry?

NaNd2TaO6